Entry 1:
# PBE-GGA NdCdPt, optimized geometry
# ΔE_f: -0.812 eV/atom
data_NdCdPt
_chemical_formula_sum 'Nd6 Cd6 Pt6'
_space_group_name_H-M_alt 'P m m a'
_space_group_IT_number 51
_space_group_name_Hall '-P 2a 2a'
_cell_length_a 13.448
_cell_length_b 4.052
_cell_length_c 7.800
_cell_angle_alpha 90.00
_cell_angle_beta 90.00
_cell_angle_gamma 90.00
loop_
_atom_site_label
_atom_site_type_symbol
_atom_site_fract_x
_atom_site_fract_y
_atom_site_fract_z
_atom_site_occupancy
Nd1 Nd 0.048 0.000 0.228 1
Nd2 Nd 0.250 0.000 0.833 1
Cd1 Cd 0.116 0.500 0.561 1
Cd2 Cd 0.250 0.500 0.190 1
Pt1 Pt 0.096 0.500 0.932 1
Pt2 Pt 0.250 0.000 0.440 1

Entry 2:
# PBE-GGA Bi2Au2I, optimized geometry
# Raw formation energy: 1 kJ per mole of atoms
data_Bi2Au2I
_chemical_formula_sum 'Bi4 Au4 I2'
_space_group_name_H-M_alt 'I 4/m m m'
_space_group_IT_number 139
_space_group_name_Hall '-I 4 2'
_cell_length_a 4.083
_cell_length_b 4.083
_cell_length_c 17.361
_cell_angle_alpha 90.00
_cell_angle_beta 90.00
_cell_angle_gamma 90.00
loop_
_atom_site_label
_atom_site_type_symbol
_atom_site_fract_x
_atom_site_fract_y
_atom_site_fract_z
_atom_site_occupancy
Bi1 Bi 0.000 0.000 0.127 1
Au1 Au 0.000 0.500 0.250 1
I1 I 0.000 0.000 0.500 1

Q: Which raw total energy values were calculated for the entries above? A: -14.16, -15.83, in eV/f.u..